Arrangement w

A plane-wave DFT calculation with PBEsol was carried out for SrH4O3 after structural relaxation.

Output
Size of the total moment = 0.0000 μB per atom
Calculated density = 3.20 g/cm³
SG = Pmc2_1 (26)

abc: 3.653 6.068 6.548
angles: 90.00 90.00 90.00
Element x y z (fractional)
Sr (0.000, 0.629, 0.753)
O (0.500, 0.435, 0.537)
H (0.787, 0.119, 0.827)
H (0.500, 0.292, 0.607)
O (0.500, 0.565, 0.037)
Sr (0.000, 0.371, 0.253)
H (0.213, 0.119, 0.827)
O (0.500, 0.948, 0.744)
H (0.213, 0.881, 0.327)
O (0.000, 0.786, 0.378)
H (0.787, 0.881, 0.327)
H (0.500, 0.032, 0.096)
H (0.500, 0.708, 0.107)
O (0.500, 0.052, 0.244)
H (0.500, 0.968, 0.596)
O (0.000, 0.214, 0.878)

Arrangement x

A plane-wave DFT calculation with PBEsol was carried out for SrH4O3 after structural relaxation.

Output
Size of the total moment = 0.0000 μB per atom
Calculated density = 3.17 g/cm³
SG = Pm (6)

abc: 3.678 6.053 6.574
angles: 90.31 89.99 90.03
Element x y z (fractional)
O (0.505, 0.042, 0.749)
Sr (0.005, 0.358, 0.748)
O (0.506, 0.518, 0.987)
O (0.505, 0.935, 0.278)
O (0.005, 0.764, 0.632)
H (0.793, 0.093, 0.188)
H (0.505, 0.989, 0.890)
H (0.505, 0.275, 0.402)
O (0.005, 0.185, 0.130)
Sr (0.005, 0.623, 0.256)
H (0.505, 0.374, 0.054)
H (0.792, 0.861, 0.677)
H (0.505, 0.956, 0.426)
H (0.219, 0.861, 0.677)
O (0.505, 0.422, 0.464)
H (0.218, 0.093, 0.188)

Name the least stable of them. arrangement x.

Arrangement w

A plane-wave DFT calculation with PBEsol was carried out for TmH3O3 after structural relaxation.

Output
Size of the total moment = 0.0000 μB per atom
Calculated density = 5.20 g/cm³
SG = P2_1/c (14)

abc: 4.844 5.729 10.228
angles: 90.00 90.00 98.46
Element x y z (fractional)
H (0.647, 0.388, 0.702)
O (0.847, 0.418, 0.673)
O (0.653, 0.654, 0.209)
H (0.647, 0.888, 0.798)
O (0.153, 0.082, 0.173)
H (0.184, 0.838, 0.083)
H (0.816, 0.662, 0.583)
O (0.794, 0.323, 0.954)
O (0.847, 0.918, 0.827)
H (0.480, 0.316, 0.862)
O (0.347, 0.346, 0.791)
H (0.520, 0.184, 0.362)
H (0.184, 0.338, 0.417)
H (0.353, 0.612, 0.298)
O (0.206, 0.177, 0.454)
Tm (0.925, 0.390, 0.157)
H (0.816, 0.162, 0.917)
H (0.480, 0.816, 0.638)
H (0.520, 0.684, 0.138)
O (0.653, 0.154, 0.291)
O (0.347, 0.846, 0.709)
Tm (0.075, 0.110, 0.657)
Tm (0.075, 0.610, 0.843)
O (0.206, 0.677, 0.046)
H (0.353, 0.112, 0.202)
O (0.153, 0.582, 0.327)
Tm (0.925, 0.890, 0.343)
O (0.794, 0.823, 0.546)

Arrangement x

A plane-wave DFT calculation with PBEsol was carried out for TmH3O3 after structural relaxation.

Output
Size of the total moment = 0.0000 μB per atom
Calculated density = 6.52 g/cm³
SG = P2_1/m (11)

abc: 3.416 6.152 6.149
angles: 119.92 90.00 90.00
Element x y z (fractional)
H (0.750, 0.721, 0.850)
O (0.750, 0.085, 0.690)
O (0.750, 0.311, 0.395)
H (0.750, 0.149, 0.871)
O (0.250, 0.395, 0.085)
H (0.750, 0.130, 0.279)
Tm (0.250, 0.333, 0.667)
H (0.250, 0.279, 0.150)
H (0.250, 0.851, 0.129)
O (0.250, 0.689, 0.605)
H (0.250, 0.870, 0.721)
Tm (0.750, 0.667, 0.333)
O (0.250, 0.915, 0.310)
O (0.750, 0.605, 0.915)

Name the least stable of them. arrangement w.

Arrangement w

A plane-wave DFT calculation with PBEsol was carried out for Y2PH after structural relaxation.

Output
Size of the total moment = 0.0001 μB per atom
Calculated density = 4.96 g/cm³
SG = Fm-3m (225)

abc: 4.631 4.631 4.631
angles: 60.00 60.00 60.00
Element x y z (fractional)
P (0.500, 0.500, 0.500)
Y (0.250, 0.250, 0.250)
Y (0.750, 0.750, 0.750)
H (0.000, 0.000, 0.000)

Arrangement x

A plane-wave DFT calculation with PBEsol was carried out for Y2PH after structural relaxation.

Output
Size of the total moment = 0.0000 μB per atom
Calculated density = 4.78 g/cm³
SG = I-42d (122)

abc: 5.742 5.742 5.742
angles: 71.58 70.00 110.00
Element x y z (fractional)
Y (0.560, 0.125, 0.815)
H (0.500, 0.750, 0.750)
P (0.500, 0.250, 0.250)
H (0.000, 0.500, 0.500)
Y (0.440, 0.625, 0.435)
P (0.000, 0.000, 0.000)
Y (0.060, 0.435, 0.125)
Y (0.940, 0.815, 0.625)

Name the least stable of them. arrangement w.

Arrangement w

A plane-wave DFT calculation with PBEsol was carried out for SbH2Pb after structural relaxation.

Output
Size of the total moment = 0.0001 μB per atom
Calculated density = 8.96 g/cm³
SG = Fm-3m (225)

abc: 4.426 4.426 4.426
angles: 60.00 60.00 60.00
Element x y z (fractional)
Pb (0.500, 0.500, 0.500)
H (0.750, 0.750, 0.750)
Sb (0.000, 0.000, 0.000)
H (0.250, 0.250, 0.250)

Arrangement x

A plane-wave DFT calculation with PBEsol was carried out for SbH2Pb after structural relaxation.

Output
Size of the total moment = 0.0000 μB per atom
Calculated density = 8.09 g/cm³
SG = I-42d (122)

abc: 4.450 4.450 7.551
angles: 107.14 107.14 90.00
Element x y z (fractional)
Sb (0.750, 0.250, 0.500)
Pb (0.000, 0.000, 0.000)
H (0.125, 0.214, 0.750)
H (0.786, 0.375, 0.250)
H (0.464, 0.875, 0.250)
Sb (0.500, 0.500, 0.000)
H (0.625, 0.536, 0.750)
Pb (0.250, 0.750, 0.500)

Name the least stable of them. arrangement w.

Arrangement w

A plane-wave DFT calculation with PBEsol was carried out for ScSiHPb2 after structural relaxation.

Output
Size of the total moment = 0.1984 μB per atom
Calculated density = 5.27 g/cm³
SG = P4/mmm (123)

abc: 5.016 5.541 5.541
angles: 90.00 90.00 90.00
Last column: magnetic moment on the atom in μB.
Element x y z (fractional)
Sc (0.000, 0.000, 0.000)  0.10
Pb (0.000, 0.000, 0.500)  0.02
Si (0.500, 0.000, 0.000)  0.03
Pb (0.000, 0.500, 0.000)  0.02
H (0.500, 0.500, 0.500)  0.29

Arrangement x

A plane-wave DFT calculation with PBEsol was carried out for ScSiHPb2 after structural relaxation.

Output
Size of the total moment = 0.0012 μB per atom
Calculated density = 5.86 g/cm³
SG = P4/mmm (123)

abc: 5.067 5.228 5.228
angles: 90.00 90.00 90.00
Element x y z (fractional)
Pb (0.000, 0.000, 0.500)
H (0.500, 0.500, 0.500)
Pb (0.000, 0.500, 0.000)
Si (0.000, 0.000, 0.000)
Sc (0.500, 0.000, 0.000)

Name the least stable of them. arrangement w.

Arrangement w

A plane-wave DFT calculation with PBEsol was carried out for ZnH3Pb after structural relaxation.

Output
Size of the total moment = 0.0000 μB per atom
Calculated density = 8.37 g/cm³
SG = Pm-3m (221)

abc: 3.796 3.796 3.796
angles: 90.00 90.00 90.00
Element x y z (fractional)
Pb (0.500, 0.500, 0.500)
H (0.500, 0.000, 0.000)
H (0.000, 0.500, 0.000)
H (0.000, 0.000, 0.500)
Zn (0.000, 0.000, 0.000)

Arrangement x

A plane-wave DFT calculation with PBEsol was carried out for ZnH3Pb after structural relaxation.

Output
Size of the total moment = 0.0000 μB per atom
Calculated density = 6.53 g/cm³
SG = Pm-3m (221)

abc: 4.123 4.123 4.123
angles: 90.00 90.00 90.00
Element x y z (fractional)
Pb (0.000, 0.000, 0.000)
Zn (0.500, 0.500, 0.500)
H (0.500, 0.000, 0.000)
H (0.000, 0.000, 0.500)
H (0.000, 0.500, 0.000)

Name the least stable of them. arrangement x.

Arrangement w

A plane-wave DFT calculation with PBEsol was carried out for HPd after structural relaxation.

Output
Size of the total moment = 0.0000 μB per atom
Calculated density = 9.87 g/cm³
SG = F-43m (216)

abc: 2.946 2.946 2.946
angles: 60.00 60.00 60.00
Element x y z (fractional)
Pd (0.250, 0.250, 0.250)
H (0.500, 0.500, 0.500)

Arrangement x

A plane-wave DFT calculation with PBEsol was carried out for HPd after structural relaxation.

Output
Size of the total moment = 0.0001 μB per atom
Calculated density = 10.64 g/cm³
SG = Fm-3m (225)

abc: 2.873 2.873 2.873
angles: 60.00 60.00 60.00
Element x y z (fractional)
Pd (0.000, 0.000, 0.000)
H (0.500, 0.500, 0.500)

Arrangement y

A plane-wave DFT calculation with PBEsol was carried out for HPd after structural relaxation.

Output
Size of the total moment = 0.0000 μB per atom
Calculated density = 9.86 g/cm³
SG = P6_3mc (186)

abc: 2.877 2.877 5.048
angles: 90.00 90.00 120.00
Element x y z (fractional)
H (0.333, 0.667, 0.489)
Pd (0.333, 0.667, 0.136)
Pd (0.667, 0.333, 0.636)
H (0.667, 0.333, 0.989)

Name the least stable of them. arrangement y.

Arrangement w

A plane-wave DFT calculation with PBEsol was carried out for YHPd3 after structural relaxation.

Output
Size of the total moment = 0.0000 μB per atom
Calculated density = 9.90 g/cm³
SG = Pm-3m (221)

abc: 4.095 4.095 4.095
angles: 90.00 90.00 90.00
Element x y z (fractional)
Y (0.500, 0.500, 0.500)
Pd (0.000, 0.500, 0.000)
H (0.000, 0.000, 0.000)
Pd (0.000, 0.000, 0.500)
Pd (0.500, 0.000, 0.000)

Arrangement x

A plane-wave DFT calculation with PBEsol was carried out for YHPd3 after structural relaxation.

Output
Size of the total moment = 0.0000 μB per atom
Calculated density = 9.65 g/cm³
SG = P6_3/mmc (194)

abc: 4.831 5.800 5.800
angles: 120.00 90.00 90.00
Element x y z (fractional)
Pd (0.250, 0.156, 0.844)
Y (0.750, 0.333, 0.667)
H (0.750, 0.667, 0.333)
Pd (0.750, 0.844, 0.156)
Pd (0.250, 0.689, 0.844)
Pd (0.750, 0.311, 0.156)
Pd (0.750, 0.844, 0.689)
H (0.250, 0.333, 0.667)
Y (0.250, 0.667, 0.333)
Pd (0.250, 0.156, 0.311)

Name the least stable of them. arrangement w.

Arrangement w

A plane-wave DFT calculation with PBEsol was carried out for ReTc3H after structural relaxation.

Output
Size of the total moment = 0.5201 μB per atom
Calculated density = 7.94 g/cm³
SG = Pm-3m (221)

abc: 4.652 4.652 4.652
angles: 90.00 90.00 90.00
Last column: magnetic moment on the atom in μB.
Element x y z (fractional)
Tc (0.500, 0.000, 0.000)  0.91
Tc (0.000, 0.000, 0.500)  0.91
Re (0.000, 0.000, 0.000)  -0.16
H (0.500, 0.500, 0.500)  -0.09
Tc (0.000, 0.500, 0.000)  0.91

Arrangement x

A plane-wave DFT calculation with PBEsol was carried out for ReTc3H after structural relaxation.

Output
Size of the total moment = 0.0000 μB per atom
Calculated density = 13.68 g/cm³
SG = Pm-3m (221)

abc: 3.880 3.880 3.880
angles: 90.00 90.00 90.00
Element x y z (fractional)
Tc (0.500, 0.000, 0.000)
Tc (0.000, 0.000, 0.500)
Tc (0.000, 0.500, 0.000)
Re (0.500, 0.500, 0.500)
H (0.000, 0.000, 0.000)

Name the least stable of them. arrangement w.

Arrangement w

A plane-wave DFT calculation with PBEsol was carried out for SbHRh3 after structural relaxation.

Output
Size of the total moment = 0.0000 μB per atom
Calculated density = 11.66 g/cm³
SG = Pm-3m (221)

abc: 3.946 3.946 3.946
angles: 90.00 90.00 90.00
Element x y z (fractional)
Rh (0.500, 0.000, 0.000)
H (0.000, 0.000, 0.000)
Rh (0.000, 0.000, 0.500)
Sb (0.500, 0.500, 0.500)
Rh (0.000, 0.500, 0.000)

Arrangement x

A plane-wave DFT calculation with PBEsol was carried out for SbHRh3 after structural relaxation.

Output
Size of the total moment = 0.1999 μB per atom
Calculated density = 6.51 g/cm³
SG = Pm-3m (221)

abc: 4.792 4.792 4.792
angles: 90.00 90.00 90.00
Last column: magnetic moment on the atom in μB.
Element x y z (fractional)
H (0.500, 0.500, 0.500)  0.02
Rh (0.500, 0.000, 0.000)  0.33
Rh (0.000, 0.500, 0.000)  0.33
Rh (0.000, 0.000, 0.500)  0.33
Sb (0.000, 0.000, 0.000)  -0.02

Name the least stable of them. arrangement x.

Arrangement w

A plane-wave DFT calculation with PBEsol was carried out for HRu3W after structural relaxation.

Output
Size of the total moment = 0.0000 μB per atom
Calculated density = 14.14 g/cm³
SG = Pm-3m (221)

abc: 3.855 3.855 3.855
angles: 90.00 90.00 90.00
Element x y z (fractional)
H (0.000, 0.000, 0.000)
W (0.500, 0.500, 0.500)
Ru (0.000, 0.500, 0.000)
Ru (0.500, 0.000, 0.000)
Ru (0.000, 0.000, 0.500)

Arrangement x

A plane-wave DFT calculation with PBEsol was carried out for HRu3W after structural relaxation.

Output
Size of the total moment = 0.0000 μB per atom
Calculated density = 14.17 g/cm³
SG = P6_3/mmc (194)

abc: 4.365 5.501 5.501
angles: 120.00 90.00 90.00
Element x y z (fractional)
W (0.750, 0.333, 0.667)
Ru (0.750, 0.341, 0.171)
H (0.500, 0.000, 0.000)
Ru (0.750, 0.829, 0.659)
Ru (0.750, 0.829, 0.171)
Ru (0.250, 0.171, 0.341)
H (0.000, 0.000, 0.000)
Ru (0.250, 0.659, 0.829)
Ru (0.250, 0.171, 0.829)
W (0.250, 0.667, 0.333)

Name the least stable of them. arrangement w.

Arrangement w

A plane-wave DFT calculation with PBEsol was carried out for ScHSe2 after structural relaxation.

Output
Size of the total moment = 0.0000 μB per atom
Calculated density = 4.02 g/cm³
SG = R-3m (166)

abc: 3.904 3.904 6.762
angles: 73.22 73.22 60.00
Element x y z (fractional)
H (0.000, 0.000, 0.000)
Sc (0.500, 0.500, 0.500)
Se (0.091, 0.091, 0.728)
Se (0.909, 0.909, 0.272)

Arrangement x

A plane-wave DFT calculation with PBEsol was carried out for ScHSe2 after structural relaxation.

Output
Size of the total moment = 0.0000 μB per atom
Calculated density = 3.92 g/cm³
SG = P2_1/m (11)

abc: 3.897 6.845 6.817
angles: 107.98 90.00 90.00
Element x y z (fractional)
Se (0.250, 0.152, 0.736)
Se (0.250, 0.356, 0.294)
Se (0.750, 0.644, 0.706)
H (0.250, 0.267, 0.055)
Sc (0.750, 0.228, 0.508)
Sc (0.250, 0.772, 0.492)
H (0.750, 0.733, 0.945)
Se (0.750, 0.848, 0.264)

Name the least stable of them. arrangement w.